First-principles (PBE) data for a relaxed Ac3Cd2Pd6 crystal, as listed in Alexandria.

The space group is Im-3m (No. 229) and the conventional cell measures 10.099, 10.099 and 10.099 Å, with angles of 90.00, 90.00 and 90.00 degrees. The asymmetric unit holds Ac at (0.000, 0.000, 0.302), Cd at (0.250, 0.250, 0.250) and Pd at (0.000, 0.338, 0.338).

The volume comes out at 23.41 Å³ per atom. The total energy is -211.8 eV for the cell shown. The calculation puts the density at 9960 kg/m3.